Entry 1:
DFT (PBE) results for a relaxed Tm2Co5Ni12 crystal.

Results
- formation enthalpy at 0 K (eV per atom) = -0.1783
- symmetry = No. 166

Unit cell a=6.236 b=6.236 c=6.236 alpha=82.85 beta=82.85 gamma=82.85
Sites, in units of the cell vectors:
Tm  0.157  0.157  0.157
Tm  0.843  0.843  0.843
Co  0.000  0.500  0.500
Co  0.405  0.405  0.405
Co  0.500  0.000  0.500
Co  0.500  0.500  0.000
Co  0.595  0.595  0.595
Ni  0.156  0.156  0.649
Ni  0.156  0.649  0.156
Ni  0.203  0.500  0.797
Ni  0.203  0.797  0.500
Ni  0.351  0.844  0.844
Ni  0.500  0.203  0.797
Ni  0.500  0.797  0.203
Ni  0.649  0.156  0.156
Ni  0.797  0.203  0.500
Ni  0.797  0.500  0.203
Ni  0.844  0.351  0.844
Ni  0.844  0.844  0.351

Entry 2:
DFT (PBE) results for a relaxed Tb4HoTl4 crystal.

Results
- formation enthalpy at 0 K (eV per atom) = -0.1674
- symmetry = No. 86

Unit cell a=9.363 b=9.363 c=5.980 alpha=90.00 beta=90.00 gamma=90.00
Sites, in units of the cell vectors:
Tb  0.088  0.826  0.128
Tb  0.174  0.588  0.628
Tb  0.326  0.912  0.628
Tb  0.412  0.674  0.128
Tb  0.588  0.326  0.872
Tb  0.674  0.088  0.372
Tb  0.826  0.412  0.372
Tb  0.912  0.174  0.872
Ho  0.250  0.250  0.750
Ho  0.750  0.750  0.250
Tl  0.042  0.148  0.364
Tl  0.148  0.458  0.136
Tl  0.352  0.042  0.136
Tl  0.458  0.352  0.364
Tl  0.542  0.648  0.636
Tl  0.648  0.958  0.864
Tl  0.852  0.542  0.864
Tl  0.958  0.852  0.636

Entry 3:
DFT (PBE) results for a relaxed Zr2FeAgMo crystal.

Results
- formation enthalpy at 0 K (eV per atom) = 0.4854
- symmetry = No. 123

Unit cell a=4.866 b=4.866 c=4.382 alpha=90.00 beta=90.00 gamma=90.00
Sites, in units of the cell vectors:
Zr  0.000  0.500  0.000
Zr  0.500  0.000  0.000
Fe  0.000  0.000  0.000
Ag  0.500  0.500  0.500
Mo  0.000  0.000  0.500

Entry 4:
DFT (PBE) results for a relaxed ErInNi5Ge2 crystal.

Results
- formation enthalpy at 0 K (eV per atom) = -0.4142
- symmetry = No. 123

Unit cell a=4.026 b=4.026 c=8.186 alpha=90.00 beta=90.00 gamma=90.00
Sites, in units of the cell vectors:
Er  0.000  0.000  0.000
In  0.000  0.000  0.500
Ni  0.000  0.500  0.295
Ni  0.000  0.500  0.705
Ni  0.500  0.000  0.295
Ni  0.500  0.000  0.705
Ni  0.500  0.500  0.500
Ge  0.500  0.500  0.153
Ge  0.500  0.500  0.847

Entry 5:
DFT (PBE) results for a relaxed Ca4TlCd2In crystal.

Results
- formation enthalpy at 0 K (eV per atom) = -0.4227
- symmetry = No. 166

Unit cell a=9.425 b=9.425 c=9.425 alpha=33.61 beta=33.61 gamma=33.61
Sites, in units of the cell vectors:
Ca  0.125  0.125  0.125
Ca  0.375  0.375  0.375
Ca  0.625  0.625  0.625
Ca  0.875  0.875  0.875
Tl  0.000  0.000  0.000
Cd  0.249  0.249  0.249
Cd  0.751  0.751  0.751
In  0.500  0.500  0.500

Entry 6:
DFT (PBE) results for a relaxed LiSb2P crystal.

Results
- uncorrected formation energy (eV/atom) = 0.020
- symmetry = No. 122

Unit cell a=7.092 b=7.092 c=7.092 alpha=125.54 beta=125.54 gamma=80.65
Sites, in units of the cell vectors:
Li  0.000  0.000  0.000
Li  0.750  0.250  0.500
Sb  0.149  0.625  0.024
Sb  0.375  0.399  0.524
Sb  0.601  0.125  0.976
Sb  0.875  0.851  0.476
P  0.250  0.750  0.500
P  0.500  0.500  0.000